First-principles (PBE-GGA) data for a relaxed TmTlZnS3 crystal, as listed in the Open Quantum Materials Database.

Cell lengths 9.7016, 3.9518, 14.7989 Å; angles 90.00, 90.00, 90.00 degrees
Space group Pnma (No. 62)
Unique sites:
Tm 0.1714 0.2500 0.0578 [4 per cell]
Tl 0.0139 0.7500 0.3250 [4 per cell]
Zn 0.1710 0.7500 0.8645 [4 per cell]
S 0.0222 0.2500 0.8968 [4 per cell]
S 0.1812 0.2500 0.4871 [4 per cell]
S 0.2226 0.7500 0.7164 [4 per cell]

Values from the calculation:
- Energy above the lowest structure with this stoichiometry: 0.41 eV/f.u.
- Calculated total energy: -27.43 eV per formula unit